(1)
The following is a GGA-PBE calculation of crystalline Tb2ZnNi4Sn3 at its relaxed geometry, from Alexandria via LeMat-Bulk.

Unit cell a=4.268 b=4.268 c=10.320 alpha=90.00 beta=90.00 gamma=90.00
Space group P-4m2 (No. 115)
Inequivalent atoms, fractional coordinates:
1 Tb 0.000 0.500 0.248
2 Zn 0.500 0.500 0.000
3 Ni 0.000 0.000 0.500
4 Ni 0.000 0.500 0.871
5 Ni 0.500 0.500 0.500
6 Sn 0.000 0.000 0.000
7 Sn 0.000 0.500 0.632

* energy relative to the elements: -0.47 eV/atom
* size of the total moment: 0.00 μB per atom



(2)
The following is a GGA-PBE calculation of crystalline MgBMo3 at its relaxed geometry, from Alexandria via LeMat-Bulk.

Unit cell a=4.251 b=4.251 c=4.251 alpha=90.00 beta=90.00 gamma=90.00
Space group Pm-3m (No. 221)
Inequivalent atoms, fractional coordinates:
1 Mg 0.000 0.000 0.000
2 B 0.500 0.500 0.500
3 Mo 0.000 0.500 0.500

* energy relative to the elements: 0.31 eV/atom
* polymorph energy (0 for the lowest one): 0.0 meV per atom
* size of the total moment: 0.00 μB per atom